Version one
A plane-wave DFT calculation with PBE-GGA was carried out for crystalline Tb6Sm8Sc at its relaxed geometry.

Cell lengths 9.7965, 9.7965, 17.6989 Å; angles 90.00, 90.00, 120.00 degrees
Space group R-3 (No. 148, hexagonal axes)
Symmetry-distinct sites (fractional):
1 Tb 0.0402 0.2936 0.1763 x18
2 Sm 0.0000 0.0000 0.0891 x6
3 Sm 0.0582 0.2383 0.6707 x18
4 Sc 0.0000 0.0000 0.5000 x3

Properties
Fermi-level density of states (states/eV/cell): 66.25
ρ (g cm⁻³): 7.455


Version two
A plane-wave DFT calculation with PBE-GGA was carried out for crystalline Tb6Sm8Sc at its relaxed geometry.

Cell lengths 9.9077, 9.9077, 5.8418 Å; angles 90.00, 90.00, 120.00 degrees
Space group P-3 (No. 147)
Symmetry-distinct sites (fractional):
1 Tb 0.0915 0.6209 0.2554 x6
2 Sm 0.0516 0.7795 0.7656 x6
3 Sm 0.3333 0.6667 0.7675 x2
4 Sc 0.0000 0.0000 0.5000 x1

Properties
Fermi-level density of states (states/eV/cell): 24.56
ρ (g cm⁻³): 7.361


Stability check: which of them is most stable? version two.


Version one
A plane-wave DFT calculation with PBE-GGA was carried out for crystalline TbSm2Sc2 at its relaxed geometry.

Cell lengths 5.6717, 11.4198, 9.4745 Å; angles 90.00, 90.00, 90.00 degrees
Space group Imma (No. 74)
Symmetry-distinct sites (fractional):
1 Tb 0.0000 0.2500 0.1451 x4
2 Sm 0.0000 0.0759 0.8366 x8
3 Sc 0.0000 0.1147 0.4473 x8

Properties
Fermi-level density of states (states/eV/cell): 32.56
ρ (g cm⁻³): 5.948


Version two
A plane-wave DFT calculation with PBE-GGA was carried out for crystalline TbSm2Sc2 at its relaxed geometry.

Cell lengths 8.8836, 15.6864, 5.6123 Å; angles 90.00, 129.11, 90.00 degrees
Space group C2/c (No. 15)
Symmetry-distinct sites (fractional):
1 Tb 0.0000 0.1504 0.2500 x4
2 Sm 0.2483 0.0628 0.9983 x8
3 Sc 0.0000 0.2556 0.7500 x4
4 Sc 0.0000 0.3711 0.2500 x4

Properties
Fermi-level density of states (states/eV/cell): 34.55
ρ (g cm⁻³): 6.015


Stability check: which of them is most stable? version two.


Version one
A plane-wave DFT calculation with PBE-GGA was carried out for crystalline Tb2Sm8Sc at its relaxed geometry.

Cell lengths 16.5310, 6.7425, 6.6787 Å; angles 90.00, 101.99, 90.00 degrees
Space group C2/m (No. 12)
Symmetry-distinct sites (fractional):
1 Tb 0.1869 0.0000 0.3087 x4
2 Sm 0.0816 0.2592 0.8893 x8
3 Sm 0.0955 0.5000 0.4170 x4
4 Sm 0.2453 0.0000 0.8277 x4
5 Sc 0.0000 0.0000 0.5000 x2

Properties
Fermi-level density of states (states/eV/cell): 35.65
ρ (g cm⁻³): 7.141


Version two
A plane-wave DFT calculation with PBE-GGA was carried out for crystalline Tb2Sm8Sc at its relaxed geometry.

Cell lengths 5.6534, 7.9824, 16.1249 Å; angles 90.00, 90.00, 90.00 degrees
Space group Immm (No. 71)
Symmetry-distinct sites (fractional):
1 Tb 0.0000 0.0000 0.2000 x4
2 Sm 0.0000 0.2174 0.0000 x4
3 Sm 0.0000 0.2908 0.3686 x8
4 Sm 0.0000 0.5000 0.1665 x4
5 Sc 0.0000 0.0000 0.5000 x2

Properties
Fermi-level density of states (states/eV/cell): 35.22
ρ (g cm⁻³): 7.146


Stability check: which of them is most stable? version two.


Version one
A plane-wave DFT calculation with PBE-GGA was carried out for crystalline Tb8SmSc2 at its relaxed geometry.

Cell lengths 5.4051, 8.1804, 15.5787 Å; angles 90.00, 90.00, 90.00 degrees
Space group Immm (No. 71)
Symmetry-distinct sites (fractional):
1 Tb 0.0000 0.0000 0.1639 x4
2 Tb 0.0000 0.2045 0.3575 x8
3 Tb 0.0000 0.2999 0.0000 x4
4 Sm 0.0000 0.5000 0.5000 x2
5 Sc 0.0000 0.5000 0.1998 x4

Properties
Fermi-level density of states (states/eV/cell): 34.36
ρ (g cm⁻³): 7.288


Version two
A plane-wave DFT calculation with PBE-GGA was carried out for crystalline Tb8SmSc2 at its relaxed geometry.

Cell lengths 8.8753, 15.9047, 5.7948 Å; angles 90.00, 122.86, 90.00 degrees
Space group C2/m (No. 12)
Symmetry-distinct sites (fractional):
1 Tb 0.0000 0.2082 0.0000 x4
2 Tb 0.0729 0.5000 0.7924 x4
3 Tb 0.2180 0.1205 0.6741 x8
4 Sm 0.0000 0.0000 0.0000 x2
5 Sc 0.0000 0.3097 0.5000 x4

Properties
Fermi-level density of states (states/eV/cell): 32.12
ρ (g cm⁻³): 7.307


Stability check: which of them is most stable? version one.


Version one
A plane-wave DFT calculation with PBE-GGA was carried out for crystalline Tb3Sm2Sc at its relaxed geometry.

Cell lengths 17.5898, 3.4540, 14.1002 Å; angles 90.00, 117.00, 90.00 degrees
Space group C2/m (No. 12)
Symmetry-distinct sites (fractional):
1 Tb 0.0361 0.0000 0.2168 x4
2 Tb 0.0990 0.5000 0.0275 x4
3 Tb 0.2407 0.5000 0.2931 x4
4 Sm 0.1544 0.5000 0.4704 x4
5 Sm 0.1792 0.0000 0.8787 x4
6 Sc 0.0637 0.5000 0.6415 x4

Properties
Fermi-level density of states (states/eV/cell): 41.31
ρ (g cm⁻³): 7.157


Version two
A plane-wave DFT calculation with PBE-GGA was carried out for crystalline Tb3Sm2Sc at its relaxed geometry.

Cell lengths 6.1152, 7.8925, 8.6566 Å; angles 111.41, 90.23, 104.81 degrees
Space group P-1 (No. 2)
Symmetry-distinct sites (fractional):
1 Tb 0.0400 0.3681 0.2865 x2
2 Tb 0.2910 0.6228 0.0415 x2
3 Tb 0.3752 0.3761 0.6279 x2
4 Sm 0.2043 0.8757 0.4588 x2
5 Sm 0.4523 0.1209 0.2043 x2
6 Sc 0.1244 0.1260 0.8786 x2

Properties
Fermi-level density of states (states/eV/cell): 16.56
ρ (g cm⁻³): 7.306


Stability check: which of them is most stable? version two.


Version one
A plane-wave DFT calculation with PBE-GGA was carried out for crystalline Tb5Sm2Sc4 at its relaxed geometry.

Cell lengths 11.9083, 6.6370, 10.2311 Å; angles 90.00, 125.30, 90.00 degrees
Space group C2/m (No. 12)
Symmetry-distinct sites (fractional):
1 Tb 0.0000 0.0000 0.0000 x2
2 Tb 0.1608 0.2692 0.6678 x8
3 Sm 0.0738 0.5000 0.2615 x4
4 Sc 0.0943 0.0000 0.3663 x4
5 Sc 0.2457 0.5000 0.0273 x4

Properties
Fermi-level density of states (states/eV/cell): 33.46
ρ (g cm⁻³): 6.417


Version two
A plane-wave DFT calculation with PBE-GGA was carried out for crystalline Tb5Sm2Sc4 at its relaxed geometry.

Cell lengths 22.4546, 3.5671, 8.6329 Å; angles 90.00, 109.60, 90.00 degrees
Space group C2/m (No. 12)
Symmetry-distinct sites (fractional):
1 Tb 0.0000 0.0000 0.0000 x2
2 Tb 0.1408 0.5000 0.2006 x4
3 Tb 0.2117 0.5000 0.6411 x4
4 Sm 0.0661 0.0000 0.4366 x4
5 Sc 0.0707 0.5000 0.7727 x4
6 Sc 0.1907 0.0000 0.9524 x4

Properties
Fermi-level density of states (states/eV/cell): 34.32
ρ (g cm⁻³): 6.501


Stability check: which of them is most stable? version two.


Version one
A plane-wave DFT calculation with PBE-GGA was carried out for crystalline Tb5Sm4Sc at its relaxed geometry.

Cell lengths 10.6031, 10.6031, 5.8704 Å; angles 90.00, 90.00, 90.00 degrees
Space group I4mm (No. 107)
Symmetry-distinct sites (fractional):
1 Tb 0.0000 0.0000 0.0000 x2
2 Tb 0.1862 0.1862 0.7125 x8
3 Sm 0.0000 0.3224 0.2327 x8
4 Sc 0.0000 0.0000 0.4696 x2

Properties
Fermi-level density of states (states/eV/cell): 27.66
ρ (g cm⁻³): 7.251


Version two
A plane-wave DFT calculation with PBE-GGA was carried out for crystalline Tb5Sm4Sc at its relaxed geometry.

Cell lengths 17.6356, 3.4745, 10.9944 Å; angles 90.00, 107.26, 90.00 degrees
Space group C2/m (No. 12)
Symmetry-distinct sites (fractional):
1 Tb 0.0000 0.0000 0.0000 x2
2 Tb 0.1060 0.5000 0.7870 x4
3 Tb 0.2066 0.5000 0.0977 x4
4 Sm 0.0904 0.5000 0.3067 x4
5 Sm 0.1953 0.0000 0.5835 x4
6 Sc 0.0000 0.0000 0.5000 x2

Properties
Fermi-level density of states (states/eV/cell): 32.88
ρ (g cm⁻³): 7.439


Stability check: which of them is most stable? version two.


Version one
A plane-wave DFT calculation with PBE-GGA was carried out for crystalline Tb2Sm7Sc2 at its relaxed geometry.

Cell lengths 6.5729, 11.7835, 9.5151 Å; angles 90.00, 90.00, 90.00 degrees
Space group Cmmm (No. 65)
Symmetry-distinct sites (fractional):
1 Tb 0.2503 0.0000 0.0000 x4
2 Sm 0.0000 0.0000 0.3191 x4
3 Sm 0.0000 0.5000 0.5000 x2
4 Sm 0.2500 0.2500 0.1928 x8
5 Sc 0.0000 0.2310 0.5000 x4

Properties
Fermi-level density of states (states/eV/cell): 40.38
ρ (g cm⁻³): 6.581


Version two
A plane-wave DFT calculation with PBE-GGA was carried out for crystalline Tb2Sm7Sc2 at its relaxed geometry.

Cell lengths 3.5810, 21.3540, 9.4240 Å; angles 90.00, 90.00, 90.00 degrees
Space group Imm2 (No. 44)
Symmetry-distinct sites (fractional):
1 Tb 0.0000 0.0000 0.0000 x2
2 Tb 0.0000 0.5000 0.1696 x2
3 Sm 0.0000 0.0000 0.3450 x2
4 Sm 0.0000 0.1226 0.8006 x4
5 Sm 0.0000 0.3501 0.9891 x4
6 Sm 0.0000 0.3587 0.6173 x4
7 Sc 0.0000 0.2512 0.2920 x4

Properties
Fermi-level density of states (states/eV/cell): 30.10
ρ (g cm⁻³): 6.730


Stability check: which of them is most stable? version two.